(1)
# Hg6S4Br3Cl, relaxed, DFT PBE
# Theoretical density in g cm⁻³: 6.46
# Uncorrected formation energy in eV per atom: -0.3271
# E_tot in Ry per atom: -0.1563
data_Hg6S4Br3Cl
_space_group_name_H-M_alt 'C 1 2/m 1'
_space_group_IT_number 12
_cell_length_a 18.5905
_cell_length_b 9.4083
_cell_length_c 10.5793
_cell_angle_alpha 90.00
_cell_angle_beta 116.72
_cell_angle_gamma 90.00
loop_
_space_group_symop_operation_xyz
'x,y,z'
'-x,-y,-z'
'-x,y,-z'
'x,-y,z'
'x+1/2,y+1/2,z'
'-x+1/2,-y+1/2,-z'
'-x+1/2,y+1/2,-z'
'x+1/2,-y+1/2,z'
loop_
_atom_site_label
_atom_site_type_symbol
_atom_site_fract_x
_atom_site_fract_y
_atom_site_fract_z
Hg1 Hg 0.0737 0.0000 0.2243
Hg2 Hg 0.0742 0.2695 0.7951
Hg3 Hg 0.1309 0.2644 0.5044
Hg4 Hg 0.2177 0.0000 0.7887
S1 S 0.0667 0.2589 0.2466
S2 S 0.1969 0.2575 0.7623
Br1 Br 0.0000 0.0000 0.5000
Br2 Br 0.0000 0.5000 0.5000
Br3 Br 0.1195 0.0000 0.9897
Br4 Br 0.2486 0.0000 0.5019
Cl1 Cl 0.1252 0.5000 0.9875

***

(2)
# HgS2BrCl, relaxed, DFT PBE
# Theoretical density in g cm⁻³: 4.50
# Uncorrected formation energy in eV per atom: 0.7202
# E_tot in Ry per atom: -0.1246
# Relative energy among the computed polymorphs in eV/atom: 0.000
data_HgS2BrCl
_space_group_name_H-M_alt 'P 4/m m m'
_space_group_IT_number 123
_space_group_name_Hall '-P 4 2'
_cell_length_a 5.2249
_cell_length_b 5.2249
_cell_length_c 5.1423
_cell_angle_alpha 90.00
_cell_angle_beta 90.00
_cell_angle_gamma 90.00
loop_
_atom_site_label
_atom_site_type_symbol
_atom_site_fract_x
_atom_site_fract_y
_atom_site_fract_z
Hg1 Hg 0.0000 0.0000 0.0000
S1 S 0.0000 0.5000 0.0000
Br1 Br 0.5000 0.5000 0.5000
Cl1 Cl 0.0000 0.0000 0.5000

***

(3)
# Hg4SBr2Cl, relaxed, DFT PBE
# Theoretical density in g cm⁻³: 6.37
# Uncorrected formation energy in eV per atom: -0.2294
# E_tot in Ry per atom: -0.1136
data_Hg4SBr2Cl
_space_group_name_H-M_alt 'P m n 21'
_space_group_IT_number 31
_cell_length_a 8.0948
_cell_length_b 8.9201
_cell_length_c 7.4328
_cell_angle_alpha 90.00
_cell_angle_beta 90.00
_cell_angle_gamma 90.00
loop_
_space_group_symop_operation_xyz
'x,y,z'
'-x+1/2,-y,z+1/2'
'-x,y,z'
'x+1/2,-y,z+1/2'
loop_
_atom_site_label
_atom_site_type_symbol
_atom_site_fract_x
_atom_site_fract_y
_atom_site_fract_z
Hg1 Hg 0.0000 0.0618 0.0000
Hg2 Hg 0.0000 0.8171 0.6204
Hg3 Hg 0.1765 0.3411 0.4963
S1 S 0.0000 0.7858 0.9501
Br1 Br 0.2157 0.3042 0.9692
Cl1 Cl 0.0000 0.0254 0.3863

***

(4)
# Hg4SBrCl2, relaxed, DFT PBE
# Theoretical density in g cm⁻³: 6.30
# Uncorrected formation energy in eV per atom: -0.2091
# E_tot in Ry per atom: -0.1137
data_Hg4SBrCl2
_space_group_name_H-M_alt 'P m n 21'
_space_group_IT_number 31
_cell_length_a 8.4188
_cell_length_b 8.7024
_cell_length_c 7.0840
_cell_angle_alpha 90.00
_cell_angle_beta 90.00
_cell_angle_gamma 90.00
loop_
_space_group_symop_operation_xyz
'x,y,z'
'-x+1/2,-y,z+1/2'
'-x,y,z'
'x+1/2,-y,z+1/2'
loop_
_atom_site_label
_atom_site_type_symbol
_atom_site_fract_x
_atom_site_fract_y
_atom_site_fract_z
Hg1 Hg 0.0000 0.0261 0.0000
Hg2 Hg 0.0000 0.9113 0.5187
Hg3 Hg 0.1750 0.5303 0.0352
S1 S 0.0000 0.7901 0.8247
Br1 Br 0.0000 0.1735 0.3206
Cl1 Cl 0.2419 0.2039 0.8267

***

(5)
# Hg2SBrCl, relaxed, DFT PBE
# Theoretical density in g cm⁻³: 5.72
# Uncorrected formation energy in eV per atom: -0.3658
# E_tot in Ry per atom: -0.1482
data_Hg2SBrCl
_space_group_name_H-M_alt 'C 1 2/m 1'
_space_group_IT_number 12
_cell_length_a 13.7086
_cell_length_b 4.3170
_cell_length_c 11.8449
_cell_angle_alpha 90.00
_cell_angle_beta 114.75
_cell_angle_gamma 90.00
loop_
_space_group_symop_operation_xyz
'x,y,z'
'-x,-y,-z'
'-x,y,-z'
'x,-y,z'
'x+1/2,y+1/2,z'
'-x+1/2,-y+1/2,-z'
'-x+1/2,y+1/2,-z'
'x+1/2,-y+1/2,z'
loop_
_atom_site_label
_atom_site_type_symbol
_atom_site_fract_x
_atom_site_fract_y
_atom_site_fract_z
Hg1 Hg 0.0623 0.0000 0.3820
Hg2 Hg 0.1489 0.5000 0.8368
S1 S 0.0428 0.5000 0.2636
Br1 Br 0.1511 0.0000 0.0552
Cl1 Cl 0.1545 0.0000 0.6178

***

(6)
# HgSbBr2Cl, relaxed, DFT PBE
# Theoretical density in g cm⁻³: 5.09
# Uncorrected formation energy in eV per atom: -0.4135
# E_tot in Ry per atom: -0.1718
data_HgSbBr2Cl
_space_group_name_H-M_alt 'P 4/m m m'
_space_group_IT_number 123
_space_group_name_Hall '-P 4 2'
_cell_length_a 5.6300
_cell_length_b 5.6300
_cell_length_c 5.3323
_cell_angle_alpha 90.00
_cell_angle_beta 90.00
_cell_angle_gamma 90.00
loop_
_atom_site_label
_atom_site_type_symbol
_atom_site_fract_x
_atom_site_fract_y
_atom_site_fract_z
Hg1 Hg 0.0000 0.0000 0.0000
Sb1 Sb 0.5000 0.5000 0.5000
Br1 Br 0.0000 0.5000 0.5000
Cl1 Cl 0.5000 0.5000 0.0000

***

(7)
# Hg4SbBr2Cl, relaxed, DFT PBE
# Theoretical density in g cm⁻³: 7.46
# Uncorrected formation energy in eV per atom: -0.2106
# E_tot in Ry per atom: -0.1121
data_Hg4SbBr2Cl
_space_group_name_H-M_alt 'C 1 2/c 1'
_space_group_IT_number 15
_cell_length_a 11.8339
_cell_length_b 14.1116
_cell_length_c 8.3599
_cell_angle_alpha 90.00
_cell_angle_beta 134.42
_cell_angle_gamma 90.00
loop_
_space_group_symop_operation_xyz
'x,y,z'
'-x,-y,-z'
'-x,y,-z+1/2'
'x,-y,z+1/2'
'x+1/2,y+1/2,z'
'-x+1/2,-y+1/2,-z'
'-x+1/2,y+1/2,-z+1/2'
'x+1/2,-y+1/2,z+1/2'
loop_
_atom_site_label
_atom_site_type_symbol
_atom_site_fract_x
_atom_site_fract_y
_atom_site_fract_z
Hg1 Hg 0.0005 0.2048 0.4914
Hg2 Hg 0.2446 0.0032 0.9937
Sb1 Sb 0.0000 0.0000 0.0000
Br1 Br 0.0000 0.5000 0.0000
Br2 Br 0.2500 0.2500 0.0000
Cl1 Cl 0.2500 0.2500 0.5000

***

(8)
# Hg4SeBr2Cl, relaxed, DFT PBE
# Theoretical density in g cm⁻³: 6.48
# Uncorrected formation energy in eV per atom: -0.2703
# E_tot in Ry per atom: -0.1107
data_Hg4SeBr2Cl
_space_group_name_H-M_alt 'P m n 21'
_space_group_IT_number 31
_cell_length_a 8.1826
_cell_length_b 9.0291
_cell_length_c 7.4650
_cell_angle_alpha 90.00
_cell_angle_beta 90.00
_cell_angle_gamma 90.00
loop_
_space_group_symop_operation_xyz
'x,y,z'
'-x+1/2,-y,z+1/2'
'-x,y,z'
'x+1/2,-y,z+1/2'
loop_
_atom_site_label
_atom_site_type_symbol
_atom_site_fract_x
_atom_site_fract_y
_atom_site_fract_z
Hg1 Hg 0.0000 0.0664 0.0000
Hg2 Hg 0.0000 0.8161 0.6123
Hg3 Hg 0.1728 0.3456 0.4921
Se1 Se 0.0000 0.7786 0.9553
Br1 Br 0.2166 0.3044 0.9638
Cl1 Cl 0.0000 0.0280 0.3889